No. 1
# Li2NdSbN

Li2NdSbN after structural relaxation (PBE, Alexandria).

The structure in CIF format:
```
data_Li2NdSbN
_cell_length_a 3.491
_cell_length_b 13.732
_cell_length_c 7.449
_cell_angle_alpha 90.00
_cell_angle_beta 90.00
_cell_angle_gamma 90.00
_space_group_name_H-M_alt 'C m c m'
_space_group_IT_number 63
_space_group_name_Hall '-C 2c 2'
loop_
_atom_site_label
_atom_site_type_symbol
_atom_site_fract_x
_atom_site_fract_y
_atom_site_fract_z
Li1 Li 0.000 0.141 0.046
Nd1 Nd 0.000 0.473 0.250
Sb1 Sb 0.000 0.254 0.750
N1 N 0.000 0.000 0.000
```

Computed properties:
**Raw formation energy**: -0.764 eV/atom


No. 2
# CaSc2Ag

CaSc2Ag after structural relaxation (PBE, Alexandria).

The structure in CIF format:
```
data_CaSc2Ag
_cell_length_a 3.4618
_cell_length_b 3.4618
_cell_length_c 30.7602
_cell_angle_alpha 90.00
_cell_angle_beta 90.00
_cell_angle_gamma 120.00
_space_group_name_H-M_alt 'R -3 m'
_space_group_IT_number 166
_space_group_name_Hall '-R 3 2"'
loop_
_atom_site_label
_atom_site_type_symbol
_atom_site_fract_x
_atom_site_fract_y
_atom_site_fract_z
Ca1 Ca 0.0000 0.0000 0.0000
Sc1 Sc 0.0000 0.0000 0.2358
Ag1 Ag 0.0000 0.0000 0.5000
```

Computed properties:
**ΔE to the lowest computed polymorph**: 208.0 meV per atom
**Calculated formation energy**: 0.6 eV per formula unit


No. 3
# LaPmSmTm

LaPmSmTm after structural relaxation (PBE, Alexandria).

The structure in CIF format:
```
data_LaPmSmTm
_cell_length_a 3.6414
_cell_length_b 3.6414
_cell_length_c 11.7876
_cell_angle_alpha 90.00
_cell_angle_beta 90.00
_cell_angle_gamma 120.00
_space_group_name_H-M_alt 'P 3 m 1'
_space_group_IT_number 156
_space_group_name_Hall 'P 3 -2"'
loop_
_atom_site_label
_atom_site_type_symbol
_atom_site_fract_x
_atom_site_fract_y
_atom_site_fract_z
La1 La 0.0000 0.0000 0.0000
Pm1 Pm 0.3333 0.6667 0.4925
Sm1 Sm 0.6667 0.3333 0.7421
Tm1 Tm 0.6667 0.3333 0.2503
```

Computed properties:
**ΔE to the lowest computed polymorph**: 0.0 meV per atom
**Calculated formation energy**: 0.1 eV per formula unit


What did the third record say?
# LaPmSmTm

LaPmSmTm after structural relaxation (PBE, Alexandria).

The structure in CIF format:
```
data_LaPmSmTm
_cell_length_a 3.6414
_cell_length_b 3.6414
_cell_length_c 11.7876
_cell_angle_alpha 90.00
_cell_angle_beta 90.00
_cell_angle_gamma 120.00
_space_group_name_H-M_alt 'P 3 m 1'
_space_group_IT_number 156
_space_group_name_Hall 'P 3 -2"'
loop_
_atom_site_label
_atom_site_type_symbol
_atom_site_fract_x
_atom_site_fract_y
_atom_site_fract_z
La1 La 0.0000 0.0000 0.0000
Pm1 Pm 0.3333 0.6667 0.4925
Sm1 Sm 0.6667 0.3333 0.7421
Tm1 Tm 0.6667 0.3333 0.2503
```

Computed properties:
**ΔE to the lowest computed polymorph**: 0.0 meV per atom
**Calculated formation energy**: 0.1 eV per formula unit


Number 2 is which compound? CaSc2Ag